DFT (GGA-PBE) results for a relaxed structure of PrSmDy5Tm2.

Cell and atoms, written as POSCAR:
```
PrSmDy5Tm2
1.0
5.608 0.000 0.000
-2.804 9.939 0.000
0.000 0.000 10.549
Pr Sm Dy Tm
2 2 10 4
direct
0.583 0.167 0.948
0.417 0.833 0.448
0.800 0.600 0.513
0.200 0.400 0.013
0.390 0.780 0.024
0.719 0.438 0.812
0.477 0.955 0.736
0.298 0.597 0.709
0.983 0.966 0.526
0.610 0.220 0.524
0.281 0.562 0.312
0.523 0.045 0.236
0.702 0.403 0.209
0.017 0.034 0.026
0.886 0.772 0.821
0.111 0.222 0.735
0.114 0.228 0.321
0.889 0.778 0.235
```

Output
As for the raw total energy: -80.0 eV per cell. As for the calculated volume: 32.7 Å³ per atom. For the formation enthalpy at 0 K, the calculation gives 163 meV/atom. For the density, the calculation gives 8.1 g/cm³. Its spin magnetization is 0.000 μB per cell.